Here is a relaxed structure of MnVMoO6 from Alexandria via LeMat-Bulk. Energies are from GGA+U.

The calculation puts the energy at -7.48 eV per atom. The magnetization is 12.000 μB per cell.

It has space group P-31c (No. 163), with a = 5.1066 Å, b = 5.1066 Å, c = 9.3052 Å, α = 90.00°, β = 90.00° and γ = 120.00°. The distinct sites, in fractional coordinates, are Mn at (0.0000, 0.0000, 0.0000), V at (0.3333, 0.6667, 0.2500), Mo at (0.3333, 0.6667, 0.7500) and O at (0.0023, 0.3573, 0.6368).